Here is a PBEsol-optimized structure of AlH3 from Alexandria. Energies are from meta-GGA SCAN.

abc: 5.358 7.248 5.675
angles: 90.00 90.00 90.00
Atoms (fractional coordinates):
1 Al 0.000 0.000 0.000
2 Al 0.210 0.087 0.500
3 Al 0.290 0.587 0.000
4 Al 0.500 0.500 0.500
5 Al 0.710 0.413 0.000
6 Al 0.790 0.913 0.500
7 H 0.000 0.500 0.000
8 H 0.104 0.858 0.500
9 H 0.187 0.807 0.000
10 H 0.206 0.092 0.198
11 H 0.206 0.092 0.802
12 H 0.294 0.592 0.302
13 H 0.294 0.592 0.698
14 H 0.313 0.307 0.500
15 H 0.396 0.358 0.000
16 H 0.500 0.000 0.500
17 H 0.604 0.642 0.000
18 H 0.687 0.693 0.500
19 H 0.706 0.408 0.302
20 H 0.706 0.408 0.698
21 H 0.794 0.908 0.198
22 H 0.794 0.908 0.802
23 H 0.813 0.193 0.000
24 H 0.896 0.142 0.500

Properties
**Uncorrected energy**: -4.597 eV/atom
**Total moment**: 0.00 μB per formula unit
**Space-group type**: Pnnm, No. 58


Here is a PBEsol-optimized structure of HfAlH3 from Alexandria. Energies are from meta-GGA SCAN.

abc: 3.529 3.529 3.529
angles: 90.00 90.00 90.00
Atoms (fractional coordinates):
1 Hf 0.000 0.000 0.000
2 Al 0.500 0.500 0.500
3 H 0.000 0.500 0.500
4 H 0.500 0.000 0.500
5 H 0.500 0.500 0.000

Properties
**Uncorrected energy**: -15.782 eV/atom
**Total moment**: 0.00 μB per formula unit
**Space-group type**: Pm-3m, No. 221


Here is a PBEsol-optimized structure of HfAl2H from Alexandria. Energies are from meta-GGA SCAN.

abc: 5.383 5.383 5.383
angles: 119.82 119.82 90.32
Atoms (fractional coordinates):
1 Hf 0.000 0.000 0.000
2 Hf 0.750 0.250 0.500
3 Al 0.349 0.125 0.724
4 Al 0.375 0.651 0.776
5 Al 0.401 0.625 0.276
6 Al 0.875 0.599 0.224
7 H 0.250 0.750 0.500
8 H 0.500 0.500 0.000

Properties
**Uncorrected energy**: -20.427 eV/atom
**Total moment**: 0.00 μB per formula unit
**Space-group type**: I-42d, No. 122
**Excess energy over the best structure of this formula in the dataset**: 0.0 kJ per mole of atoms


Here is a PBEsol-optimized structure of HfAl2H from Alexandria. Energies are from meta-GGA SCAN.

abc: 4.507 4.507 4.507
angles: 60.00 60.00 60.00
Atoms (fractional coordinates):
1 Hf 0.000 0.000 0.000
2 Al 0.250 0.250 0.250
3 Al 0.750 0.750 0.750
4 H 0.500 0.500 0.500

Properties
**Uncorrected energy**: -19.701 eV/atom
**Total moment**: 0.18 μB per formula unit
**Space-group type**: Fm-3m, No. 225
**Excess energy over the best structure of this formula in the dataset**: 70.1 kJ per mole of atoms